[1]
Density functional theory data (PBE) for a geometry-optimized Mg3Sc3Hg2Au structure.

For the raw total energy, the calculation gives -0.2561 Ry per atom. Its crystal system is hexagonal.

a = 7.5394 Å, b = 7.5394 Å, c = 3.8383 Å
α = 90.00°, β = 90.00°, γ = 120.00°
Space group P-62m (No. 189)
One atom of each set of equivalent atoms:
Mg 0.0000 0.7459 0.0000 (multiplicity 3)
Sc 0.0000 0.4019 0.5000 (multiplicity 3)
Hg 0.3333 0.6667 0.0000 (multiplicity 2)
Au 0.0000 0.0000 0.5000 (multiplicity 1)


[2]
Density functional theory data (PBE) for a geometry-optimized DyHo2In3Ir2 structure.

For the raw total energy, the calculation gives -0.4124 Ry per atom. Its crystal system is orthorhombic.

a = 3.644 Å, b = 13.191 Å, c = 7.614 Å
α = 90.00°, β = 90.00°, γ = 90.00°
Space group Amm2 (No. 38)
One atom of each set of equivalent atoms:
Dy 0.000 0.000 0.000 (multiplicity 2)
Ho 0.000 0.211 0.367 (multiplicity 4)
In 0.500 0.000 0.344 (multiplicity 2)
In 0.500 0.117 0.695 (multiplicity 4)
Ir 0.500 0.167 0.078 (multiplicity 4)


[3]
Density functional theory data (PBE) for a geometry-optimized Li4TlSnIr2 structure.

For the raw total energy, the calculation gives -0.3105 Ry per atom. Its crystal system is tetragonal.

a = 4.463 Å, b = 4.463 Å, c = 6.301 Å
α = 90.00°, β = 90.00°, γ = 90.00°
Space group P-4m2 (No. 115)
One atom of each set of equivalent atoms:
Li 0.000 0.000 0.000 (multiplicity 1)
Li 0.000 0.500 0.749 (multiplicity 2)
Li 0.500 0.500 0.500 (multiplicity 1)
Tl 0.000 0.000 0.500 (multiplicity 1)
Sn 0.500 0.500 0.000 (multiplicity 1)
Ir 0.000 0.500 0.235 (multiplicity 2)


[4]
Density functional theory data (PBE) for a geometry-optimized TbNpSn structure.

For the raw total energy, the calculation gives -0.4844 Ry per atom. Its crystal system is cubic.

a = 7.268 Å, b = 7.268 Å, c = 7.268 Å
α = 90.00°, β = 90.00°, γ = 90.00°
Space group F-43m (No. 216)
One atom of each set of equivalent atoms:
Tb 0.000 0.000 0.000 (multiplicity 4)
Np 0.250 0.250 0.750 (multiplicity 4)
Sn 0.000 0.000 0.500 (multiplicity 4)


[5]
Density functional theory data (PBE) for a geometry-optimized UTlCuTe3 structure.

For the raw total energy, the calculation gives -0.3633 Ry per atom. Its crystal system is orthorhombic.

a = 4.265 Å, b = 15.554 Å, c = 11.244 Å
α = 90.00°, β = 90.00°, γ = 90.00°
Space group Cmcm (No. 63)
One atom of each set of equivalent atoms:
U 0.000 0.000 0.000 (multiplicity 4)
Tl 0.000 0.245 0.250 (multiplicity 4)
Cu 0.000 0.468 0.750 (multiplicity 4)
Te 0.000 0.071 0.750 (multiplicity 4)
Te 0.000 0.367 0.562 (multiplicity 8)


[6]
Density functional theory data (PBE) for a geometry-optimized BaDyMgSb2 structure.

For the raw total energy, the calculation gives -0.3028 Ry per atom. Its crystal system is orthorhombic.

a = 4.838 Å, b = 18.755 Å, c = 7.150 Å
α = 90.00°, β = 90.00°, γ = 90.00°
Space group Cmc2_1 (No. 36)
One atom of each set of equivalent atoms:
Ba 0.000 0.197 0.000 (multiplicity 4)
Dy 0.000 0.014 0.713 (multiplicity 4)
Mg 0.000 0.404 0.890 (multiplicity 4)
Sb 0.000 0.160 0.495 (multiplicity 4)
Sb 0.000 0.442 0.490 (multiplicity 4)


[7]
Density functional theory data (PBE) for a geometry-optimized Co2GePd structure.

For the raw total energy, the calculation gives -0.4412 Ry per atom. Its crystal system is cubic.

a = 5.917 Å, b = 5.917 Å, c = 5.917 Å
α = 90.00°, β = 90.00°, γ = 90.00°
Space group F-43m (No. 216)
One atom of each set of equivalent atoms:
Co 0.000 0.000 0.000 (multiplicity 4)
Co 0.250 0.250 0.250 (multiplicity 4)
Ge 0.000 0.000 0.500 (multiplicity 4)
Pd 0.250 0.250 0.750 (multiplicity 4)


[8]
Density functional theory data (PBE) for a geometry-optimized Ta2Nb5Co6 structure.

Its crystal system is trigonal. For the calculated formation energy, the calculation gives -245 kJ/mol of formula units. As for the energy relative to the lowest polymorph listed for this composition: 6 meV per atom.

a = 4.9532 Å, b = 4.9532 Å, c = 26.3166 Å
α = 90.00°, β = 90.00°, γ = 120.00°
Space group R-3m (No. 166, hexagonal axes)
One atom of each set of equivalent atoms:
Ta 0.0000 0.0000 0.0508 (multiplicity 6)
Nb 0.0000 0.0000 0.1537 (multiplicity 6)
Nb 0.0000 0.0000 0.3337 (multiplicity 6)
Nb 0.0000 0.0000 0.5000 (multiplicity 3)
Co 0.0075 0.5037 0.9120 (multiplicity 18)


[9]
Density functional theory data (PBE) for a geometry-optimized Nb2AlGaPd2 structure.

For the raw total energy, the calculation gives -0.4790 Ry per atom. Its crystal system is monoclinic.

a = 10.471 Å, b = 4.274 Å, c = 10.472 Å
α = 90.00°, β = 109.47°, γ = 90.00°
Space group Pm (No. 6)
One atom of each set of equivalent atoms:
Nb 0.000 0.000 0.000 (multiplicity 1)
Nb 0.124 0.500 0.375 (multiplicity 1)
Nb 0.250 0.000 0.750 (multiplicity 1)
Nb 0.375 0.500 0.124 (multiplicity 1)
Nb 0.499 0.000 0.501 (multiplicity 1)
Nb 0.624 0.500 0.875 (multiplicity 1)
Nb 0.749 0.000 0.248 (multiplicity 1)
Nb 0.875 0.500 0.626 (multiplicity 1)
Al 0.250 0.000 0.250 (multiplicity 1)
Al 0.625 0.500 0.375 (multiplicity 1)
Al 0.750 0.000 0.749 (multiplicity 1)
Al 0.999 0.000 0.500 (multiplicity 1)
Ga 0.124 0.500 0.875 (multiplicity 1)
Ga 0.374 0.500 0.624 (multiplicity 1)
Ga 0.500 0.000 0.000 (multiplicity 1)
Ga 0.875 0.500 0.125 (multiplicity 1)
Pd 0.127 0.500 0.126 (multiplicity 1)
Pd 0.247 0.000 0.499 (multiplicity 1)
Pd 0.374 0.500 0.874 (multiplicity 1)
Pd 0.500 0.000 0.252 (multiplicity 1)
Pd 0.626 0.500 0.625 (multiplicity 1)
Pd 0.750 0.000 0.998 (multiplicity 1)
Pd 0.874 0.500 0.376 (multiplicity 1)
Pd 0.999 0.000 0.749 (multiplicity 1)


[10]
Density functional theory data (PBE) for a geometry-optimized Nd2Sm2C2Br4Cl structure.

Its crystal system is monoclinic. As for the energy relative to the lowest polymorph listed for this composition: 0 meV per atom.

a = 19.385 Å, b = 3.896 Å, c = 8.038 Å
α = 90.00°, β = 103.71°, γ = 90.00°
Space group C2/m (No. 12)
One atom of each set of equivalent atoms:
Nd 0.000 0.000 0.209 (multiplicity 4)
Sm 0.155 0.500 0.098 (multiplicity 4)
C 0.037 0.500 0.022 (multiplicity 4)
Br 0.161 0.000 0.369 (multiplicity 4)
Br 0.169 0.000 0.830 (multiplicity 4)
Cl 0.000 0.500 0.500 (multiplicity 2)


[11]
Density functional theory data (PBE) for a geometry-optimized PmMoIr structure.

Its crystal system is cubic. For the calculated formation energy, the calculation gives 343 kJ/mol of formula units. As for the energy relative to the lowest polymorph listed for this composition: 848 meV per atom.

a = 6.533 Å, b = 6.533 Å, c = 6.533 Å
α = 90.00°, β = 90.00°, γ = 90.00°
Space group F-43m (No. 216)
One atom of each set of equivalent atoms:
Pm 0.000 0.000 0.000 (multiplicity 4)
Mo 0.250 0.250 0.250 (multiplicity 4)
Ir 0.250 0.250 0.750 (multiplicity 4)


[12]
Density functional theory data (PBE) for a geometry-optimized CsErCoTe3 structure.

Its crystal system is orthorhombic. As for the energy relative to the lowest polymorph listed for this composition: 16 meV per atom.

a = 4.258 Å, b = 17.294 Å, c = 11.372 Å
α = 90.00°, β = 90.00°, γ = 90.00°
Space group Cmcm (No. 63)
One atom of each set of equivalent atoms:
Cs 0.000 0.242 0.250 (multiplicity 4)
Er 0.000 0.500 0.000 (multiplicity 4)
Co 0.000 0.033 0.750 (multiplicity 4)
Te 0.000 0.119 0.564 (multiplicity 8)
Te 0.000 0.442 0.750 (multiplicity 4)


[13]
Density functional theory data (PBE) for a geometry-optimized NdAgPO structure.

Its crystal system is tetragonal. As for the energy relative to the lowest polymorph listed for this composition: 0 meV per atom.

a = 4.085 Å, b = 4.085 Å, c = 8.710 Å
α = 90.00°, β = 90.00°, γ = 90.00°
Space group P4/nmm (No. 129, origin choice 2)
One atom of each set of equivalent atoms:
Nd 0.250 0.250 0.133 (multiplicity 2)
Ag 0.250 0.750 0.500 (multiplicity 2)
P 0.250 0.250 0.680 (multiplicity 2)
O 0.250 0.750 0.000 (multiplicity 2)


[14]
Density functional theory data (PBE) for a geometry-optimized AsPdPbO structure.

Its crystal system is orthorhombic. As for the energy relative to the lowest polymorph listed for this composition: 401 meV per atom.

a = 3.592 Å, b = 6.906 Å, c = 6.863 Å
α = 90.00°, β = 90.00°, γ = 90.00°
Space group Pmc2_1 (No. 26)
One atom of each set of equivalent atoms:
As 0.000 0.222 0.000 (multiplicity 2)
Pd 0.500 0.335 0.193 (multiplicity 2)
Pb 0.000 0.180 0.588 (multiplicity 2)
O 0.500 0.362 0.522 (multiplicity 2)


[15]
Density functional theory data (PBE) for a geometry-optimized LuBeAg structure.

Its crystal system is cubic. As for the energy relative to the lowest polymorph listed for this composition: 0 meV per atom.

a = 6.154 Å, b = 6.154 Å, c = 6.154 Å
α = 90.00°, β = 90.00°, γ = 90.00°
Space group F-43m (No. 216)
One atom of each set of equivalent atoms:
Lu 0.000 0.000 0.000 (multiplicity 4)
Be 0.250 0.250 0.750 (multiplicity 4)
Ag 0.000 0.000 0.500 (multiplicity 4)


[16]
Density functional theory data (PBE) for a geometry-optimized SmGaCu structure.

For the raw total energy, the calculation gives -0.2660 Ry per atom. Its crystal system is cubic.

a = 6.664 Å, b = 6.664 Å, c = 6.664 Å
α = 90.00°, β = 90.00°, γ = 90.00°
Space group F-43m (No. 216)
One atom of each set of equivalent atoms:
Sm 0.000 0.000 0.000 (multiplicity 4)
Ga 0.250 0.250 0.250 (multiplicity 4)
Cu 0.250 0.250 0.750 (multiplicity 4)


[17]
Density functional theory data (PBE) for a geometry-optimized LiAgTe3Ir structure.

For the raw total energy, the calculation gives -0.2968 Ry per atom. Its crystal system is orthorhombic.

a = 3.961 Å, b = 13.449 Å, c = 10.791 Å
α = 90.00°, β = 90.00°, γ = 90.00°
Space group Cmcm (No. 63)
One atom of each set of equivalent atoms:
Li 0.000 0.226 0.250 (multiplicity 4)
Ag 0.000 0.117 0.750 (multiplicity 4)
Te 0.000 0.136 0.505 (multiplicity 8)
Te 0.000 0.445 0.750 (multiplicity 4)
Ir 0.000 0.500 0.000 (multiplicity 4)


[18]
Density functional theory data (PBE) for a geometry-optimized TbPrCd structure.

Its crystal system is cubic. For the calculated formation energy, the calculation gives 136 kJ/mol of formula units.

a = 7.313 Å, b = 7.313 Å, c = 7.313 Å
α = 90.00°, β = 90.00°, γ = 90.00°
Space group F-43m (No. 216)
One atom of each set of equivalent atoms:
Tb 0.000 0.000 0.000 (multiplicity 4)
Pr 0.250 0.250 0.750 (multiplicity 4)
Cd 0.000 0.000 0.500 (multiplicity 4)


[19]
Density functional theory data (PBE) for a geometry-optimized NaBeReOs structure.

Its crystal system is cubic. As for the energy relative to the lowest polymorph listed for this composition: 0 meV per atom.

a = 6.016 Å, b = 6.016 Å, c = 6.016 Å
α = 90.00°, β = 90.00°, γ = 90.00°
Space group F-43m (No. 216)
One atom of each set of equivalent atoms:
Na 0.000 0.000 0.000 (multiplicity 4)
Be 0.250 0.250 0.750 (multiplicity 4)
Re 0.250 0.250 0.250 (multiplicity 4)
Os 0.000 0.000 0.500 (multiplicity 4)


[20]
Density functional theory data (PBE) for a geometry-optimized SmGa structure.

For the raw total energy, the calculation gives -0.3059 Ry per atom. Its crystal system is hexagonal.

a = 3.5756 Å, b = 3.5756 Å, c = 4.6655 Å
α = 90.00°, β = 90.00°, γ = 120.00°
Space group P-6m2 (No. 187)
One atom of each set of equivalent atoms:
Sm 0.0000 0.0000 0.0000 (multiplicity 1)
Ga 0.3333 0.6667 0.5000 (multiplicity 1)